1.
VASP calculation (PBE) on crystalline CaBSeN2 at its relaxed geometry.

Output
The calculation puts the calculated volume at 24.07 Å³/atom. The distance to the lowest polymorph of the same formula is 6.50 eV per formula unit. For the density of states at the Fermi level, the calculation gives 3.26 states/eV/cell. Its uncorrected formation energy is 2.135 eV per atom.

Cell lengths 4.5232, 4.5232, 5.8818 Å; angles 90.00, 90.00, 90.00 degrees
With the nearest neighbours (Å) after each atom.
Space group P4/mmm (No. 123)
One atom of each set of equivalent atoms:
Ca 0.0000 0.0000 0.0000 (multiplicity 1)  4 N 2.26
B 0.5000 0.5000 0.5000 (multiplicity 1)  4 Se 3.20
Se 0.0000 0.0000 0.5000 (multiplicity 1)  2 Ca 2.94, 4 B 3.20
N 0.0000 0.5000 0.0000 (multiplicity 2)  2 Ca 2.26

***

2.
VASP calculation (PBE) on crystalline CaBSeN2 at its relaxed geometry.

Output
The calculation puts the calculated volume at 13.07 Å³/atom. The distance to the lowest polymorph of the same formula is 0.00 eV per formula unit. For the density of states at the Fermi level, the calculation gives 3.23 states/eV/cell. Its uncorrected formation energy is 0.834 eV per atom.

Cell lengths 3.6758, 3.6758, 4.8354 Å; angles 90.00, 90.00, 90.00 degrees
With the nearest neighbours (Å) after each atom.
Space group P4/mmm (No. 123)
One atom of each set of equivalent atoms:
Ca 0.0000 0.0000 0.0000 (multiplicity 1)  4 Se 2.60
B 0.5000 0.5000 0.5000 (multiplicity 1)  4 N 1.84
Se 0.5000 0.5000 0.0000 (multiplicity 1)  2 B 2.42, 4 Ca 2.60
N 0.0000 0.5000 0.5000 (multiplicity 2)  2 B 1.84

***

3.
VASP calculation (PBE) on crystalline CaBW2N at its relaxed geometry.

Output
The calculation puts the calculated volume at 17.14 Å³/atom. For the density of states at the Fermi level, the calculation gives 5.66 states/eV/cell. Its uncorrected formation energy is 1.389 eV per atom.

Cell lengths 4.0782, 4.0782, 5.1516 Å; angles 90.00, 90.00, 90.00 degrees
With the nearest neighbours (Å) after each atom.
Space group P4/mmm (No. 123)
One atom of each set of equivalent atoms:
Ca 0.0000 0.0000 0.0000 (multiplicity 1)  2 B 2.58, 4 N 2.88
B 0.0000 0.0000 0.5000 (multiplicity 1)  4 W 2.04
W 0.0000 0.5000 0.5000 (multiplicity 2)  2 B 2.04
N 0.5000 0.5000 0.0000 (multiplicity 1)  4 Ca 2.88